Compound: Ba2LiAs
Source: Alexandria via LeMat-Bulk
Functional: GGA-PBE
Structure: relaxed

Cell lengths 4.1679, 4.1691, 9.5567 Å; angles 64.15, 90.00, 90.00 degrees
Last column: nearest neighbours and their distance in Å.
Element x y z (fractional)
As 0.5000 0.7500 0.7500  8 Ba 3.41
Ba 0.0000 0.0501 0.9496  4 As 3.41, 1 Ba 3.43
Ba 0.0000 0.4499 0.5504  4 As 3.41, 1 Ba 3.43
Li 0.5000 0.2500 0.2500  8 Ba 3.92, 4 Li 4.17, 2 As 4.30

Calculated values
* SG: No. 123
* magnetic moment: 0.000 μB per formula unit
* calculated density: 4.0 g/cm3
* formation energy from the elements: -0.572 eV/atom